No. 1
Y2BIr | GGA-PBEsol | relaxed

Values from the calculation:
* density of states at the Fermi level: 0.608 states/eV per atom
* total DFT energy (no corrections): -7.38 eV per atom
* formation enthalpy at 0 K: 0.24 eV/atom
* magnetization: 0.00 μB/cell
* mass density: 7.78 g cm⁻³
* volume: 20.326 Å³ per atom

CIF file:
```
data_Y2BIr
_chemical_formula_sum 'Y8 B4 Ir4'
_cell_length_a 6.989
_cell_length_b 6.989
_cell_length_c 6.657
_cell_angle_alpha 90.00
_cell_angle_beta 90.00
_cell_angle_gamma 90.00
_space_group_name_H-M_alt 'I -4 2 d'
_space_group_IT_number 122
_space_group_name_Hall 'I -4 2bw'
loop_
_atom_site_label
_atom_site_fract_x
_atom_site_fract_y
_atom_site_fract_z
_atom_site_occupancy
Y1 0.228 0.750 0.125 1
B1 0.000 0.000 0.000 1
Ir1 0.000 0.000 0.500 1
```

---

No. 2
ZnB2Ir2 | GGA-PBEsol | relaxed

Values from the calculation:
* density of states at the Fermi level: 0.151 states/eV per atom
* total DFT energy (no corrections): -7.38 eV per atom
* formation enthalpy at 0 K: -0.33 eV/atom
* magnetization: 0.00 μB/cell
* mass density: 14.23 g cm⁻³
* volume: 11.003 Å³ per atom

CIF file:
```
data_ZnB2Ir2
_chemical_formula_sum 'Zn2 B4 Ir4'
_cell_length_a 2.961
_cell_length_b 2.961
_cell_length_c 12.550
_cell_angle_alpha 90.00
_cell_angle_beta 90.00
_cell_angle_gamma 90.00
_space_group_name_H-M_alt 'I 4/m m m'
_space_group_IT_number 139
_space_group_name_Hall '-I 4 2'
loop_
_atom_site_label
_atom_site_fract_x
_atom_site_fract_y
_atom_site_fract_z
_atom_site_occupancy
Zn1 0.000 0.000 0.000 1
B1 0.000 0.500 0.250 1
Ir1 0.000 0.000 0.374 1
```

---

No. 3
Zn6B5Ir11 | GGA-PBEsol | relaxed

Values from the calculation:
* density of states at the Fermi level: 0.247 states/eV per atom
* total DFT energy (no corrections): -7.20 eV per atom
* formation enthalpy at 0 K: -0.27 eV/atom
* magnetization: 0.00 μB/cell
* mass density: 15.68 g cm⁻³
* volume: 12.326 Å³ per atom

CIF file:
```
data_Zn6B5Ir11
_chemical_formula_sum 'Zn6 B5 Ir11'
_cell_length_a 2.862
_cell_length_b 11.288
_cell_length_c 8.394
_cell_angle_alpha 90.00
_cell_angle_beta 90.00
_cell_angle_gamma 90.00
_space_group_name_H-M_alt 'P m m 2'
_space_group_IT_number 25
_space_group_name_Hall 'P 2 -2'
loop_
_atom_site_label
_atom_site_fract_x
_atom_site_fract_y
_atom_site_fract_z
_atom_site_occupancy
Zn1 0.000 0.000 0.000 1
Zn2 0.000 0.000 0.300 1
Zn3 0.000 0.000 0.640 1
Zn4 0.000 0.301 0.654 1
Zn5 0.000 0.500 0.124 1
B1 0.000 0.234 0.324 1
B2 0.000 0.244 0.957 1
B3 0.000 0.500 0.459 1
Ir1 0.500 0.141 0.818 1
Ir2 0.500 0.151 0.476 1
Ir3 0.500 0.180 0.142 1
Ir4 0.500 0.380 0.342 1
Ir5 0.500 0.380 0.915 1
Ir6 0.500 0.500 0.641 1
```

---

No. 4
Zn5B3Ir7 | GGA-PBEsol | relaxed

Values from the calculation:
* density of states at the Fermi level: 0.298 states/eV per atom
* total DFT energy (no corrections): -6.79 eV per atom
* formation enthalpy at 0 K: -0.28 eV/atom
* magnetization: 0.00 μB/cell
* mass density: 15.28 g cm⁻³
* volume: 12.352 Å³ per atom

CIF file:
```
data_Zn5B3Ir7
_chemical_formula_sum 'Zn10 B6 Ir14'
_cell_length_a 11.123
_cell_length_b 2.839
_cell_length_c 11.734
_cell_angle_alpha 90.00
_cell_angle_beta 90.00
_cell_angle_gamma 90.00
_space_group_name_H-M_alt 'P m m a'
_space_group_IT_number 51
_space_group_name_Hall '-P 2a 2a'
loop_
_atom_site_label
_atom_site_fract_x
_atom_site_fract_y
_atom_site_fract_z
_atom_site_occupancy
Zn1 0.049 0.000 0.136 1
Zn2 0.131 0.000 0.345 1
Zn3 0.250 0.000 0.811 1
B1 0.119 0.000 0.592 1
B2 0.250 0.000 0.037 1
Ir1 0.000 0.500 0.500 1
Ir2 0.081 0.500 0.722 1
Ir3 0.124 0.500 0.962 1
Ir4 0.250 0.500 0.181 1
Ir5 0.250 0.500 0.522 1
```